(1)
This record from Alexandria describes an optimized crystal structure of Cu2Ni2Ge. The functional is GGA-PBE.

POSCAR file:
```
Cu2Ni2Ge
1.0
-2.043 2.557 5.897
2.043 -2.557 5.897
2.043 2.557 -5.897
Cu Ni Ge
4 4 2
Direct
0.127 0.377 0.750
0.251 0.001 0.250
0.749 0.999 0.750
0.873 0.623 0.250
0.184 0.186 0.998
0.312 0.814 0.498
0.688 0.186 0.502
0.816 0.814 0.002
0.380 0.630 0.750
0.620 0.370 0.250
```

Calculated values
- relative energy among the computed polymorphs (meV per atom) = 0

(2)
This record from Alexandria describes an optimized crystal structure of RbCu2Te2Se6. The functional is GGA-PBE.

POSCAR file:
```
RbCu2Te2Se6
1.0
6.846 0.000 0.000
2.231 7.676 0.000
1.425 2.968 7.512
Rb Cu Te Se
1 2 2 6
Direct
0.000 0.000 0.000
0.345 0.822 0.579
0.655 0.178 0.421
0.056 0.414 0.279
0.944 0.586 0.721
0.160 0.716 0.428
0.227 0.616 0.872
0.375 0.114 0.335
0.625 0.886 0.665
0.773 0.384 0.128
0.840 0.284 0.572
```

Calculated values
- formation energy (no corrections) (eV/atom) = -0.17

(3)
This record from Alexandria describes an optimized crystal structure of YHo4Se7. The functional is GGA-PBE.

POSCAR file:
```
YHo4Se7
1.0
6.674 -1.977 0.000
6.674 1.977 0.000
-3.012 0.000 11.787
Y Ho Se
1 4 7
Direct
0.000 0.000 0.000
0.113 0.113 0.422
0.226 0.226 0.844
0.413 0.413 0.609
0.814 0.814 0.235
0.073 0.073 0.637
0.154 0.154 0.207
0.370 0.370 0.070
0.454 0.454 0.372
0.613 0.613 0.921
0.773 0.773 0.472
0.854 0.854 0.773
```

Calculated values
- formation energy (no corrections) (eV/atom) = -1.85

Computed values of Fermi-level density of states (unit: states/eV per atom) for the preceding records, in sequence: 0.52, 0.38, 0.16.